## CsMnSeBr2 (PBEsol)

Data for CsMnSeBr2 after structural relaxation.

abc: 5.336 5.336 4.864
angles: 90.00 90.00 90.00
Space group P4/mmm (No. 123)
Symmetry-distinct sites (fractional):
1 Cs 0.000 0.000 0.000 (multiplicity 1)
2 Mn 0.500 0.500 0.500 (multiplicity 1)
3 Se 0.500 0.500 0.000 (multiplicity 1)
4 Br 0.000 0.500 0.500 (multiplicity 2)

* M_tot: 3.99 μB per cell
* E: -4.499 eV/atom
* energy relative to the elements, uncorrected: -405 kJ/mol of formula units
* V: 138.5 Å³/cell

=====

## LiHfW2 (PBEsol)

Data for LiHfW2 after structural relaxation.

abc: 6.344 6.344 6.344
angles: 90.00 90.00 90.00
Space group Fm-3m (No. 225)
Symmetry-distinct sites (fractional):
1 Li 0.000 0.000 0.000 (multiplicity 4)
2 Hf 0.000 0.000 0.500 (multiplicity 4)
3 W 0.250 0.250 0.250 (multiplicity 8)

* ΔH_f (0 K): 3.1 eV per formula unit
* M_tot: 0.00 μB per cell
* E: -9.247 eV/atom
* V: 255.4 Å³/cell

=====

## Co3AsP (PBEsol)

Data for Co3AsP after structural relaxation.

abc: 4.229 4.229 4.229
angles: 90.00 90.00 90.00
Space group Pm-3m (No. 221)
Symmetry-distinct sites (fractional):
1 Co 0.000 0.000 0.500 (multiplicity 3)
2 As 0.000 0.000 0.000 (multiplicity 1)
3 P 0.500 0.500 0.500 (multiplicity 1)

* ΔH_f (0 K): 4.6 eV per formula unit
* M_tot: 2.28 μB per cell
* E: -5.910 eV/atom
* V: 75.6 Å³/cell

=====

## TiVZnP3O12 (PBEsol)

Data for TiVZnP3O12 after structural relaxation.

abc: 8.5443 8.5443 20.5142
angles: 90.00 90.00 120.00
Space group R3c (No. 161, hexagonal axes)
Symmetry-distinct sites (fractional):
1 Ti 0.0000 0.0000 0.0000 (multiplicity 6)
2 V 0.0000 0.0000 0.2854 (multiplicity 6)
3 Zn 0.0000 0.0000 0.1447 (multiplicity 6)
4 P 0.0000 0.2938 0.3929 (multiplicity 18)
5 O 0.0073 0.1936 0.4544 (multiplicity 18)
6 O 0.0206 0.1833 0.0685 (multiplicity 18)
7 O 0.1433 0.4699 0.9986 (multiplicity 18)
8 O 0.1671 0.4854 0.3862 (multiplicity 18)

* M_tot: 12.01 μB per cell
* E: -7.851 eV/atom
* energy relative to the elements, uncorrected: -3996 kJ/mol of formula units
* V: 1297.0 Å³/cell

=====

## CdCu2P2 (PBEsol)

Data for CdCu2P2 after structural relaxation.

abc: 3.618 3.618 11.379
angles: 90.00 90.00 90.00
Space group I4/mmm (No. 139)
Symmetry-distinct sites (fractional):
1 Cd 0.000 0.000 0.000 (multiplicity 2)
2 Cu 0.000 0.000 0.392 (multiplicity 4)
3 P 0.000 0.500 0.250 (multiplicity 4)

* ΔH_f (0 K): 0.8 eV per formula unit
* M_tot: 0.00 μB per cell
* E: -4.122 eV/atom
* V: 148.9 Å³/cell

=====

## CrNi2Pt (PBEsol)

Data for CrNi2Pt after structural relaxation.

abc: 2.587 3.574 5.074
angles: 90.00 90.00 90.00
Space group Pmm2 (No. 25)
Symmetry-distinct sites (fractional):
1 Cr 0.000 0.000 0.000 (multiplicity 1)
2 Ni 0.000 0.000 0.462 (multiplicity 1)
3 Ni 0.500 0.500 0.235 (multiplicity 1)
4 Pt 0.500 0.500 0.738 (multiplicity 1)

* ΔH_f (0 K): -0.4 eV per formula unit
* M_tot: 0.06 μB per cell
* E: -7.472 eV/atom
* V: 46.9 Å³/cell

=====

## TlSbSe2 (PBEsol)

Data for TlSbSe2 after structural relaxation.

abc: 4.212 4.212 6.435
angles: 90.00 90.00 90.00
Space group P4mm (No. 99)
Symmetry-distinct sites (fractional):
1 Tl 0.000 0.000 0.000 (multiplicity 1)
2 Sb 0.500 0.500 0.529 (multiplicity 1)
3 Se 0.000 0.000 0.485 (multiplicity 1)
4 Se 0.500 0.500 0.919 (multiplicity 1)

* M_tot: 0.00 μB per cell
* E: -3.983 eV/atom
* energy relative to the elements, uncorrected: -101 kJ/mol of formula units
* V: 114.2 Å³/cell

=====

## ReWCl2 (PBEsol)

Data for ReWCl2 after structural relaxation.

abc: 2.763 4.387 5.118
angles: 90.00 90.00 90.00
Space group Pmmm (No. 47)
Symmetry-distinct sites (fractional):
1 Re 0.000 0.000 0.000 (multiplicity 1)
2 W 0.500 0.000 0.500 (multiplicity 1)
3 Cl 0.000 0.500 0.500 (multiplicity 1)
4 Cl 0.500 0.500 0.000 (multiplicity 1)

* M_tot: 0.00 μB per cell
* E: -6.814 eV/atom
* energy above the lowest structure with this stoichiometry: 1157.4 meV per atom
* energy relative to the elements, uncorrected: 376 kJ/mol of formula units
* V: 62.0 Å³/cell

=====

## NaTiO2 (PBEsol)

Data for NaTiO2 after structural relaxation.

abc: 8.707 8.707 8.707
angles: 90.00 90.00 90.00
Space group Fd-3m (No. 227, origin choice 2)
Symmetry-distinct sites (fractional):
1 Na 0.000 0.000 0.000 (multiplicity 16)
2 Ti 0.000 0.000 0.500 (multiplicity 16)
3 O 0.014 0.014 0.736 (multiplicity 32)

* M_tot: 0.00 μB per cell
* E: -7.508 eV/atom
* energy relative to the elements, uncorrected: -947 kJ/mol of formula units
* V: 660.0 Å³/cell

=====

## Rb2CeI5 (PBEsol)

Data for Rb2CeI5 after structural relaxation.

abc: 14.409 9.924 9.191
angles: 90.00 90.00 90.00
Space group Pnma (No. 62)
Symmetry-distinct sites (fractional):
1 Rb 0.171 0.008 0.073 (multiplicity 8)
2 Ce 0.006 0.250 0.577 (multiplicity 4)
3 I 0.007 0.250 0.926 (multiplicity 4)
4 I 0.070 0.548 0.673 (multiplicity 8)
5 I 0.187 0.250 0.386 (multiplicity 4)
6 I 0.207 0.750 0.348 (multiplicity 4)

* M_tot: 4.00 μB per cell
* E: -3.595 eV/atom
* energy relative to the elements, uncorrected: -1088 kJ/mol of formula units
* V: 1314.3 Å³/cell

=====

## BaTaO3 (PBEsol)

Data for BaTaO3 after structural relaxation.

abc: 4.573 4.573 4.573
angles: 90.00 90.00 90.00
Space group Pm-3m (No. 221)
Symmetry-distinct sites (fractional):
1 Ba 0.000 0.000 0.000 (multiplicity 1)
2 Ta 0.500 0.500 0.500 (multiplicity 1)
3 O 0.000 0.000 0.500 (multiplicity 3)

* M_tot: 2.46 μB per cell
* E: -5.443 eV/atom
* energy relative to the elements, uncorrected: 312 kJ/mol of formula units
* V: 95.6 Å³/cell

=====

## Mn2IrSe (PBEsol)

Data for Mn2IrSe after structural relaxation.

abc: 5.253 7.107 2.965
angles: 90.00 90.00 90.00
Space group Cmmm (No. 65)
Symmetry-distinct sites (fractional):
1 Mn 0.250 0.250 0.000 (multiplicity 4)
2 Ir 0.000 0.000 0.500 (multiplicity 2)
3 Se 0.000 0.500 0.500 (multiplicity 2)

* M_tot: 12.24 μB per cell
* E: -8.120 eV/atom
* energy relative to the elements, uncorrected: 69 kJ/mol of formula units
* V: 110.7 Å³/cell

=====

What is the E in the second record?
-9.247 eV/atom

=====

M_tot of number 11 (BaTaO3)?
2.46 μB per cell

=====

Among the records above, which one has the highest M_tot?
Mn2IrSe